{"formula": "PrMn2Ge2", "functional": "PBE-GGA", "state": "optimized geometry", "total_magnetization_mub_per_fu": 4.1, "rho_g_cm3": 7.37, "formation_energy_mev_per_atom": -450, "lattice_angstrom": [[-2.010, 2.010, 5.519], [2.010, -2.010, 5.519], [2.010, 2.010, -5.519]], "species": ["Pr", "Mn", "Mn", "Ge", "Ge"], "fractional_positions": [[0.000, 0.000, 0.000], [0.250, 0.750, 0.500], [0.750, 0.250, 0.500], [0.376, 0.376, 0.000], [0.624, 0.624, 0.000]]}

***

{"formula": "Ti5Ga2Pd", "functional": "PBE-GGA", "state": "optimized geometry", "total_magnetization_mub_per_fu": 2.0, "rho_g_cm3": 6.11, "formation_energy_mev_per_atom": -332, "lattice_angstrom": [[-3.538, 3.538, 5.266], [3.538, -3.538, 5.266], [3.538, 3.538, -5.266]], "species": ["Ti", "Ti", "Ti", "Ti", "Ti", "Ti", "Ti", "Ti", "Ti", "Ti", "Ga", "Ga", "Ga", "Ga", "Pd", "Pd"], "fractional_positions": [[0.000, 0.000, 0.000], [0.004, 0.504, 0.192], [0.188, 0.996, 0.500], [0.312, 0.812, 0.808], [0.496, 0.688, 0.500], [0.500, 0.500, 0.000], [0.504, 0.312, 0.500], [0.688, 0.188, 0.192], [0.812, 0.004, 0.500], [0.996, 0.496, 0.808], [0.144, 0.356, 0.500], [0.356, 0.856, 0.213], [0.644, 0.144, 0.787], [0.856, 0.644, 0.500], [0.250, 0.250, 0.000], [0.750, 0.750, 0.000]]}

***

{"formula": "RbIn2PbI5", "functional": "PBE-GGA", "state": "optimized geometry", "total_magnetization_mub_per_fu": 0.0, "rho_g_cm3": 4.28, "formation_energy_uncorrected_ev_per_atom": -0.72, "lattice_angstrom": [[2.391, -10.247, 0.000], [2.391, 10.247, 0.000], [0.000, 0.000, 18.300]], "species": ["Rb", "Rb", "In", "In", "In", "In", "Pb", "Pb", "I", "I", "I", "I", "I", "I", "I", "I", "I", "I"], "fractional_positions": [[0.067, 0.933, 0.500], [0.933, 0.067, 0.000], [0.352, 0.648, 0.322], [0.448, 0.552, 0.724], [0.552, 0.448, 0.224], [0.648, 0.352, 0.822], [0.242, 0.758, 0.115], [0.758, 0.242, 0.615], [0.032, 0.968, 0.838], [0.087, 0.913, 0.099], [0.245, 0.755, 0.493], [0.268, 0.732, 0.741], [0.401, 0.599, 0.143], [0.599, 0.401, 0.643], [0.732, 0.268, 0.241], [0.755, 0.245, 0.993], [0.913, 0.087, 0.599], [0.968, 0.032, 0.338]]}

***

{"formula": "Ba3Zn2Ni", "functional": "PBE-GGA", "state": "optimized geometry", "total_magnetization_mub_per_fu": 0.0, "rho_g_cm3": 4.76, "formation_energy_mev_per_atom": -115, "lattice_angstrom": [[13.587, 0.000, 0.000], [0.000, 4.542, 0.000], [0.000, 0.000, 13.594]], "species": ["Ba", "Ba", "Ba", "Ba", "Ba", "Ba", "Ba", "Ba", "Ba", "Ba", "Ba", "Ba", "Zn", "Zn", "Zn", "Zn", "Zn", "Zn", "Zn", "Zn", "Ni", "Ni", "Ni", "Ni"], "fractional_positions": [[0.069, 0.250, 0.128], [0.107, 0.750, 0.560], [0.211, 0.250, 0.803], [0.289, 0.750, 0.303], [0.393, 0.250, 0.060], [0.431, 0.750, 0.628], [0.569, 0.250, 0.372], [0.607, 0.750, 0.940], [0.711, 0.250, 0.697], [0.789, 0.750, 0.197], [0.893, 0.250, 0.440], [0.931, 0.750, 0.872], [0.049, 0.750, 0.320], [0.224, 0.750, 0.987], [0.276, 0.250, 0.487], [0.451, 0.250, 0.820], [0.549, 0.750, 0.180], [0.724, 0.750, 0.513], [0.776, 0.250, 0.013], [0.951, 0.250, 0.680], [0.126, 0.250, 0.369], [0.374, 0.750, 0.869], [0.626, 0.250, 0.131], [0.874, 0.750, 0.631]]}

***

{"formula": "Pm2Sm6Tm", "functional": "PBE-GGA", "state": "optimized geometry", "total_magnetization_mub_per_fu": 0.0, "rho_g_cm3": 7.54, "formation_energy_mev_per_atom": 85, "e_above_lowest_polymorph_mev_per_atom": 36, "lattice_angstrom": [[8.455, -5.879, 0.000], [8.455, 5.879, 0.000], [-0.732, 0.000, 6.035]], "species": ["Pm", "Pm", "Pm", "Pm", "Sm", "Sm", "Sm", "Sm", "Sm", "Sm", "Sm", "Sm", "Sm", "Sm", "Sm", "Sm", "Tm", "Tm"], "fractional_positions": [[0.009, 0.319, 0.084], [0.319, 0.009, 0.584], [0.681, 0.991, 0.416], [0.991, 0.681, 0.916], [0.048, 0.827, 0.456], [0.161, 0.379, 0.622], [0.173, 0.952, 0.044], [0.288, 0.506, 0.215], [0.379, 0.161, 0.122], [0.494, 0.712, 0.285], [0.506, 0.288, 0.715], [0.621, 0.839, 0.878], [0.712, 0.494, 0.785], [0.827, 0.048, 0.956], [0.839, 0.621, 0.378], [0.952, 0.173, 0.544], [0.353, 0.647, 0.750], [0.647, 0.353, 0.250]]}

***

{"formula": "Sr2TlGaN", "functional": "PBE-GGA", "state": "optimized geometry", "total_magnetization_mub_per_fu": 0.0, "rho_g_cm3": 5.77, "formation_energy_uncorrected_ev_per_atom": -0.50, "lattice_angstrom": [[7.453, 0.000, 0.000], [0.000, 3.971, 0.000], [-3.318, 0.000, 9.013]], "species": ["Sr", "Sr", "Sr", "Sr", "Tl", "Tl", "Ga", "Ga", "N", "N"], "fractional_positions": [[0.187, 0.250, 0.465], [0.207, 0.250, 0.861], [0.793, 0.750, 0.139], [0.813, 0.750, 0.535], [0.270, 0.750, 0.184], [0.730, 0.250, 0.816], [0.452, 0.750, 0.726], [0.548, 0.250, 0.274], [0.179, 0.750, 0.661], [0.821, 0.250, 0.339]]}